# 1
Ac4La3Pb4: optimized geometry, GGA-PBE.

Unit cell a=3.921 b=10.271 c=11.484 alpha=116.56 beta=99.83 gamma=90.00
Atoms (fractional coordinates):
Ac: 0.666 0.841 0.332
La: 0.914 0.914 0.828
Pb: 0.500 0.225 0.000
Ac: 0.666 0.490 0.332
Pb: 0.500 0.775 0.000
Ac: 0.334 0.510 0.668
La: 0.086 0.086 0.172
La: 0.000 0.500 0.000
Ac: 0.334 0.159 0.668
Pb: 0.720 0.220 0.439
Pb: 0.280 0.780 0.561

Computed properties:
Raw total energy   -4.614 eV/atom
Spin magnetization   0.001 μB per cell
D(E_F)   0.80 states/eV/atom
Crystal system   orthorhombic

# 2
KBeCr2Cd: optimized geometry, GGA-PBE.

Unit cell a=5.372 b=4.958 c=5.372 alpha=90.00 beta=90.00 gamma=90.00
Atoms (fractional coordinates):
Cd: 0.500 0.500 0.500
K: 0.000 0.000 0.000
Be: 0.000 0.500 0.000
Cr: 0.000 0.000 0.500
Cr: 0.500 0.000 0.000

Computed properties:
Raw total energy   -2.827 eV/atom
Spin magnetization   9.781 μB per cell
D(E_F)   0.61 states/eV/atom
Crystal system   tetragonal

# 3
ScN: optimized geometry, GGA-PBE.

Unit cell a=3.559 b=4.897 c=10.966 alpha=90.00 beta=90.00 gamma=90.00
Atoms (fractional coordinates):
Sc: 0.500 0.375 0.000
N: 0.500 0.391 0.500
Sc: 0.000 0.883 0.152
N: 0.000 0.886 0.347
N: 0.500 0.114 0.847
Sc: 0.000 0.883 0.848
N: 0.500 0.114 0.153
Sc: 0.000 0.625 0.500
Sc: 0.500 0.117 0.652
N: 0.000 0.609 0.000
Sc: 0.500 0.117 0.348
N: 0.000 0.886 0.653

Computed properties:
Uncorrected formation energy   -1517 meV/atom
Raw total energy   -8.845 eV/atom
Spin magnetization   0.000 μB per cell
D(E_F)   0.00 states/eV/atom
Crystal system   orthorhombic

- Number 1 is which compound?
  Ac4La3Pb4